Record 1
The following is a PBE calculation of a geometry-optimized Tc3Mo structure, from Alexandria.

Cell: 4.8080 8.9596 5.5403 Å, 90.00 90.00 90.00°
Sites, in units of the cell vectors:
Mo: 0.0827 0.7500 0.6228
Mo: 0.4173 0.2500 0.1228
Mo: 0.5827 0.7500 0.8772
Mo: 0.9173 0.2500 0.3772
Tc: 0.9139 0.2500 0.8772
Tc: 0.2598 0.9925 0.3739
Tc: 0.2598 0.5075 0.3739
Tc: 0.2402 0.4925 0.8739
Tc: 0.2402 0.0075 0.8739
Tc: 0.5861 0.7500 0.3772
Tc: 0.4139 0.2500 0.6228
Tc: 0.7598 0.9925 0.1261
Tc: 0.7598 0.5075 0.1261
Tc: 0.7402 0.4925 0.6261
Tc: 0.7402 0.0075 0.6261
Tc: 0.0861 0.7500 0.1228

density of states at the Fermi level = 4.3 states/eV/f.u.
ρ = 10.85 g cm⁻³
energy relative to the lowest polymorph listed for this composition = 0 meV/atom
energy = -166.6 eV for the cell shown
space group = Pnma, No. 62
ΔH_f (0 K) = 0.3 eV/f.u.

Record 2
The following is a PBE calculation of a geometry-optimized Tc5Mo4 structure, from Alexandria.

Cell: 7.7335 7.7335 5.3321 Å, 90.00 90.00 60.00°
Sites, in units of the cell vectors:
Mo: 0.0000 0.0000 0.0000
Mo: 0.0000 0.0000 0.5000
Mo: 0.6343 0.3657 0.2500
Mo: 0.0000 0.6343 0.2500
Mo: 0.3657 0.0000 0.2500
Mo: 0.3657 0.6343 0.7500
Mo: 0.0000 0.3657 0.7500
Mo: 0.6343 0.0000 0.7500
Tc: 0.3115 0.6885 0.2500
Tc: 0.0000 0.3115 0.2500
Tc: 0.6885 0.0000 0.2500
Tc: 0.6885 0.3115 0.7500
Tc: 0.0000 0.6885 0.7500
Tc: 0.3115 0.0000 0.7500
Tc: 0.3333 0.3333 0.0000
Tc: 0.6667 0.6667 0.5000
Tc: 0.6667 0.6667 0.0000
Tc: 0.3333 0.3333 0.5000

density of states at the Fermi level = 10.4 states/eV/f.u.
ρ = 10.51 g cm⁻³
energy relative to the lowest polymorph listed for this composition = 87 meV/atom
energy = -186.5 eV for the cell shown
space group = P6_3/mcm, No. 193
ΔH_f (0 K) = 1.9 eV/f.u.

Record 3
The following is a PBE calculation of a geometry-optimized TcMo7 structure, from Alexandria.

Cell: 6.3116 6.3116 6.3116 Å, 90.08 90.08 89.92°
Sites, in units of the cell vectors:
Tc: 0.8716 0.8716 0.1284
Tc: 0.1284 0.1284 0.8716
Mo: 0.6261 0.6261 0.3739
Mo: 0.6248 0.1268 0.3752
Mo: 0.1268 0.6248 0.3752
Mo: 0.1256 0.1256 0.3732
Mo: 0.8744 0.3732 0.1256
Mo: 0.3732 0.8744 0.1256
Mo: 0.3752 0.3752 0.1268
Mo: 0.6248 0.6248 0.8732
Mo: 0.6268 0.1256 0.8744
Mo: 0.1256 0.6268 0.8744
Mo: 0.8744 0.8744 0.6268
Mo: 0.8732 0.3752 0.6248
Mo: 0.3752 0.8732 0.6248
Mo: 0.3739 0.3739 0.6261

density of states at the Fermi level = 7.9 states/eV/f.u.
ρ = 10.17 g cm⁻³
energy relative to the lowest polymorph listed for this composition = 0 meV/atom
energy = -172.1 eV for the cell shown
space group = R-3m, No. 166
ΔH_f (0 K) = 0.1 eV/f.u.

Number 1 is which compound? Tc3Mo

Look up the ρ of the third one. 10.17 g cm⁻³